First-principles (PBE) data for an optimized crystal structure of Ga2CoBiSe, as listed in Alexandria.

* Fermi-level density of states: 3.29 states/eV/f.u.
* crystal system: tetragonal
* formation energy from raw total energies: 1.12 eV/atom

Lattice parameters (Å, degrees): 5.560 5.557 5.560 90.00 90.00 90.00
Each line ends with the local moment (μB).
Positions (direct):
Ga1 0.000 0.000 0.500  -0.01
Ga2 0.500 0.000 0.000  -0.02
Co1 0.500 0.500 0.500  2.22
Bi1 0.000 0.000 0.000  -0.01
Se1 0.000 0.500 0.000  0.04